A relaxed RbCu2SiBr crystal. Source: the Alexandria database, functional PBE-GGA.

abc: 4.5524 4.5524 7.7769
angles: 90.00 90.00 90.00
Atoms (fractional coordinates):
Rb 0.0000 0.0000 0.0000
Cu 0.0000 0.5000 0.5000
Cu 0.5000 0.0000 0.5000
Si 0.0000 0.0000 0.5000
Br 0.5000 0.5000 0.0000

Properties
As for the formation energy without anion corrections: -0.0194 eV per atom. The calculation puts the size of the total moment at 0.0 μB/f.u. Its total energy is -16.4 eV for the cell shown.